1.
{"formula": "HfMgZnGe2", "functional": "PBE-GGA", "state": "optimized geometry", "lattice": [[5.1425, 0.0000, 0.0000], [0.0000, 5.1978, 0.0000], [0.0000, 0.0000, 5.1425]], "species": ["Hf", "Ge", "Ge", "Mg", "Zn"], "fractional_positions": [[0.0000, 0.0000, 0.0000], [0.5000, 0.0000, 0.0000], [0.0000, 0.0000, 0.5000], [0.5000, 0.5000, 0.5000], [0.0000, 0.5000, 0.0000]], "vol_a3_per_atom": 27.5, "density_g_cm3": 5.0, "e_above_lowest_polymorph_mev_per_atom": 0, "formation_enthalpy_0k_ev_per_atom": 0.508, "crystal_system": "tetragonal"}

=====

2.
{"formula": "HfMgZnGe2", "functional": "PBE-GGA", "state": "optimized geometry", "lattice": [[-3.2697, 0.2706, 3.4216], [0.9654, -4.8122, 1.3031], [3.3119, 1.4895, 3.0471]], "species": ["Zn", "Hf", "Ge", "Ge", "Mg"], "fractional_positions": [[0.0000, 0.0000, 0.0000], [0.0000, 0.5000, 0.0000], [0.5000, 0.0000, 0.0000], [0.0000, 0.0000, 0.5000], [0.5000, 0.5000, 0.5000]], "vol_a3_per_atom": 22.8, "density_g_cm3": 6.0, "e_above_lowest_polymorph_mev_per_atom": 87, "formation_enthalpy_0k_ev_per_atom": 0.595, "crystal_system": "tetragonal"}

=====

3.
{"formula": "HfMgZnGe2", "functional": "PBE-GGA", "state": "optimized geometry", "lattice": [[-1.0380, -3.6663, -3.4450], [5.3781, 0.4645, -2.1147], [1.6133, -3.5744, 3.3179]], "species": ["Zn", "Mg", "Ge", "Ge", "Hf"], "fractional_positions": [[0.5000, 0.5000, 0.5000], [0.0000, 0.5000, 0.0000], [0.5000, 0.0000, 0.0000], [0.0000, 0.0000, 0.5000], [0.0000, 0.0000, 0.0000]], "vol_a3_per_atom": 30.6, "density_g_cm3": 4.5, "e_above_lowest_polymorph_mev_per_atom": 214, "formation_enthalpy_0k_ev_per_atom": 0.721, "crystal_system": "tetragonal"}

=====

4.
{"formula": "Hf2MnGe", "functional": "PBE-GGA", "state": "optimized geometry", "lattice": [[7.3564, 0.0000, 0.0000], [0.0000, 7.3564, 0.0000], [3.6782, 3.6782, 2.8422]], "species": ["Hf", "Hf", "Hf", "Hf", "Ge", "Ge", "Mn", "Mn"], "fractional_positions": [[0.1269, 0.6250, 0.2500], [0.6231, 0.1250, 0.2500], [0.3750, 0.3769, 0.7500], [0.8750, 0.8731, 0.7500], [0.7500, 0.2500, 0.5000], [0.0000, 0.0000, 0.0000], [0.5000, 0.5000, 0.0000], [0.2500, 0.7500, 0.5000]], "vol_a3_per_atom": 19.2, "density_g_cm3": 10.5, "formation_enthalpy_0k_ev_per_atom": 0.204, "crystal_system": "tetragonal"}

=====

5.
{"formula": "HfMnGe", "functional": "PBE-GGA", "state": "optimized geometry", "lattice": [[-3.1009, 4.7510, 3.5511], [0.0501, -6.3227, 2.1952], [3.1992, 0.6796, 1.8844]], "species": ["Hf", "Hf", "Hf", "Mn", "Mn", "Mn", "Ge", "Ge", "Ge"], "fractional_positions": [[0.5867, 0.5867, 0.5000], [0.0000, 0.4133, 0.5000], [0.4133, 0.0000, 0.5000], [0.7557, 0.0000, 0.0000], [0.0000, 0.7557, 0.0000], [0.2443, 0.2443, 0.0000], [0.0000, 0.0000, 0.5000], [0.6667, 0.3333, 0.0000], [0.3333, 0.6667, 0.0000]], "vol_a3_per_atom": 16.3, "density_g_cm3": 10.4, "formation_enthalpy_0k_ev_per_atom": -0.535, "crystal_system": "hexagonal"}

=====

6.
{"formula": "Hf3MnGe", "functional": "PBE-GGA", "state": "optimized geometry", "lattice": [[4.7885, 0.0000, 0.0000], [0.0000, 4.7885, 0.0000], [0.0000, 0.0000, 4.7885]], "species": ["Hf", "Hf", "Hf", "Ge", "Mn"], "fractional_positions": [[0.0000, 0.5000, 0.0000], [0.5000, 0.0000, 0.0000], [0.0000, 0.0000, 0.5000], [0.5000, 0.5000, 0.5000], [0.0000, 0.0000, 0.0000]], "vol_a3_per_atom": 22.0, "density_g_cm3": 10.0, "formation_enthalpy_0k_ev_per_atom": 0.328, "crystal_system": "cubic"}

=====

7.
{"formula": "Hf2Mn3Ge4", "functional": "PBE-GGA", "state": "optimized geometry", "lattice": [[-2.1424, -4.5062, 1.2495], [3.2443, 0.3038, -3.9799], [4.0922, 0.9183, 5.0599]], "species": ["Ge", "Ge", "Ge", "Ge", "Mn", "Mn", "Mn", "Hf", "Hf"], "fractional_positions": [[0.9991, 0.3266, 0.3257], [0.0009, 0.6734, 0.6743], [0.3266, 0.9991, 0.3257], [0.6734, 0.0009, 0.6743], [0.5000, 0.0000, 0.0000], [0.0000, 0.5000, 0.0000], [0.0000, 0.0000, 0.0000], [0.3678, 0.3678, 0.7357], [0.6322, 0.6322, 0.2643]], "vol_a3_per_atom": 15.4, "density_g_cm3": 9.7, "formation_enthalpy_0k_ev_per_atom": -0.381, "crystal_system": "orthorhombic"}

=====

8.
{"formula": "HfMn3Ge3", "functional": "PBE-GGA", "state": "optimized geometry", "lattice": [[-5.9311, 2.2465, 1.4200], [-1.5879, -0.2109, -6.2989], [-2.1311, -6.0951, 0.7413]], "species": ["Ge", "Ge", "Ge", "Ge", "Ge", "Ge", "Mn", "Mn", "Mn", "Mn", "Mn", "Mn", "Hf", "Hf"], "fractional_positions": [[0.0000, 0.7500, 0.5000], [0.0000, 0.2500, 0.5000], [0.2500, 0.5000, 0.0000], [0.5000, 0.0000, 0.7500], [0.7500, 0.5000, 0.0000], [0.5000, 0.0000, 0.2500], [0.7500, 0.0000, 0.5000], [0.0000, 0.5000, 0.2500], [0.5000, 0.7500, 0.0000], [0.2500, 0.0000, 0.5000], [0.5000, 0.2500, 0.0000], [0.0000, 0.5000, 0.7500], [0.0000, 0.0000, 0.0000], [0.5000, 0.5000, 0.5000]], "vol_a3_per_atom": 19.6, "density_g_cm3": 6.8, "formation_enthalpy_0k_ev_per_atom": 0.734, "crystal_system": "cubic"}

=====

9.
{"formula": "Hf3Mn2Ge3", "functional": "PBE-GGA", "state": "optimized geometry", "lattice": [[-0.2532, -4.9635, -1.6588], [7.5961, -0.0730, -0.9413], [-3.0458, -2.0857, 6.7056]], "species": ["Hf", "Hf", "Hf", "Hf", "Hf", "Hf", "Ge", "Ge", "Ge", "Ge", "Ge", "Ge", "Mn", "Mn", "Mn", "Mn"], "fractional_positions": [[0.2500, 0.0000, 0.7515], [0.7500, 0.0000, 0.2485], [0.7500, 0.7515, 0.7515], [0.2500, 0.7515, 0.0000], [0.2500, 0.2485, 0.2485], [0.7500, 0.2485, 0.0000], [0.2500, 0.0000, 0.4023], [0.2500, 0.4023, 0.0000], [0.7500, 0.4023, 0.4023], [0.7500, 0.0000, 0.5977], [0.7500, 0.5977, 0.0000], [0.2500, 0.5977, 0.5977], [0.0000, 0.6667, 0.3333], [0.0000, 0.3333, 0.6667], [0.5000, 0.3333, 0.6667], [0.5000, 0.6667, 0.3333]], "vol_a3_per_atom": 16.6, "density_g_cm3": 10.8, "formation_enthalpy_0k_ev_per_atom": -0.468, "crystal_system": "hexagonal"}

=====

10.
{"formula": "Hf2MnGe3", "functional": "PBE-GGA", "state": "optimized geometry", "lattice": [[-2.9862, -0.5996, 4.0070], [-1.9746, -6.2209, -2.4025], [5.5891, -0.2084, 4.1340]], "species": ["Hf", "Hf", "Hf", "Hf", "Ge", "Ge", "Ge", "Ge", "Ge", "Ge", "Mn", "Mn"], "fractional_positions": [[0.7500, 0.1787, 0.4498], [0.2500, 0.8213, 0.5502], [0.7500, 0.4498, 0.1787], [0.2500, 0.5502, 0.8213], [0.5000, 0.1878, 0.8122], [0.7500, 0.6064, 0.6064], [0.5000, 0.8122, 0.1878], [0.2500, 0.3936, 0.3936], [0.0000, 0.1878, 0.8122], [0.0000, 0.8122, 0.1878], [0.2500, 0.0743, 0.0743], [0.7500, 0.9257, 0.9257]], "vol_a3_per_atom": 18.5, "density_g_cm3": 9.4, "formation_enthalpy_0k_ev_per_atom": -0.240, "crystal_system": "orthorhombic"}

=====

11.
{"formula": "Hf2MnGe4", "functional": "PBE-GGA", "state": "optimized geometry", "lattice": [[3.8467, 0.0000, 0.0000], [0.0000, 3.8467, 0.0000], [0.0000, 0.0000, 8.6981]], "species": ["Hf", "Hf", "Ge", "Ge", "Ge", "Ge", "Mn"], "fractional_positions": [[0.5000, 0.0000, 0.7517], [0.0000, 0.5000, 0.2483], [0.5000, 0.5000, 0.5000], [0.0000, 0.5000, 0.8408], [0.0000, 0.0000, 0.5000], [0.5000, 0.0000, 0.1592], [0.5000, 0.5000, 0.0000]], "vol_a3_per_atom": 18.4, "density_g_cm3": 9.1, "formation_enthalpy_0k_ev_per_atom": -0.266, "crystal_system": "tetragonal"}

=====

12.
{"formula": "Hf8MnGe2", "functional": "PBE-GGA", "state": "optimized geometry", "lattice": [[3.9490, 0.0000, 0.0000], [0.0000, 7.0958, 0.6269], [-1.9745, -2.2820, 7.7307]], "species": ["Mn", "Hf", "Hf", "Hf", "Hf", "Hf", "Hf", "Hf", "Hf", "Ge", "Ge"], "fractional_positions": [[0.5000, 0.0000, 0.0000], [0.0088, 0.7818, 0.0176], [0.5927, 0.5044, 0.1855], [0.6619, 0.9878, 0.3239], [0.3381, 0.0122, 0.6761], [0.9912, 0.2182, 0.9824], [0.2032, 0.3367, 0.4064], [0.4073, 0.4956, 0.8145], [0.7968, 0.6633, 0.5936], [0.8141, 0.2687, 0.6282], [0.1859, 0.7313, 0.3718]], "vol_a3_per_atom": 20.2, "density_g_cm3": 12.2, "formation_enthalpy_0k_ev_per_atom": -0.215, "crystal_system": "monoclinic"}

=====

Number 1 is which compound?
HfMgZnGe2